No. 1
# Ho3BeNi3, optimized geometry, DFT PBE
# - calculated density (g cm⁻³) = 8.982
# - E_form (eV per atom) = -0.412
data_Ho3BeNi3
_cell_length_a 3.735
_cell_length_b 9.940
_cell_length_c 13.542
_cell_angle_alpha 90.00
_cell_angle_beta 90.00
_cell_angle_gamma 90.00
_space_group_name_H-M_alt 'C m c m'
_space_group_IT_number 63
_space_group_name_Hall '-C 2c 2'
loop_
_atom_site_label
_atom_site_type_symbol
_atom_site_fract_x
_atom_site_fract_y
_atom_site_fract_z
Ho1 Ho 0.000 0.004 0.250
Ho2 Ho 0.000 0.281 0.105
Be1 Be 0.000 0.000 0.000
Ni1 Ni 0.000 0.290 0.750
Ni2 Ni 0.000 0.435 0.581

***

No. 2
# PmHoBeNi, optimized geometry, DFT PBE
# - calculated density (g cm⁻³) = 7.728
# - E_form (eV per atom) = -0.081
data_PmHoBeNi
_cell_length_a 6.872
_cell_length_b 6.872
_cell_length_c 6.872
_cell_angle_alpha 90.00
_cell_angle_beta 90.00
_cell_angle_gamma 90.00
_space_group_name_H-M_alt 'F -4 3 m'
_space_group_IT_number 216
_space_group_name_Hall 'F -4 2 3'
loop_
_atom_site_label
_atom_site_type_symbol
_atom_site_fract_x
_atom_site_fract_y
_atom_site_fract_z
Pm1 Pm 0.000 0.000 0.000
Ho1 Ho 0.000 0.000 0.500
Be1 Be 0.250 0.250 0.750
Ni1 Ni 0.250 0.250 0.250

***

No. 3
# Ho2Be3NiPt4, optimized geometry, DFT PBE
# - calculated density (g cm⁻³) = 12.715
# - E_form (eV per atom) = -0.864
data_Ho2Be3NiPt4
_cell_length_a 3.976
_cell_length_b 3.976
_cell_length_c 9.882
_cell_angle_alpha 90.00
_cell_angle_beta 90.00
_cell_angle_gamma 90.00
_space_group_name_H-M_alt 'P -4 m 2'
_space_group_IT_number 115
loop_
_space_group_symop_operation_xyz
'x,y,z'
'y,-x,-z'
'-x,-y,z'
'-y,x,-z'
'-x,y,z'
'-y,-x,-z'
'x,-y,z'
'y,x,-z'
loop_
_atom_site_label
_atom_site_type_symbol
_atom_site_fract_x
_atom_site_fract_y
_atom_site_fract_z
Ho1 Ho 0.000 0.500 0.249
Be1 Be 0.000 0.000 0.000
Be2 Be 0.000 0.500 0.622
Ni1 Ni 0.500 0.500 0.000
Pt1 Pt 0.000 0.000 0.500
Pt2 Pt 0.000 0.500 0.852
Pt3 Pt 0.500 0.500 0.500

***

No. 4
# Ho2BeNiPt6, optimized geometry, DFT PBE
# - calculated density (g cm⁻³) = 14.200
# - E_form (eV per atom) = -0.730
data_Ho2BeNiPt6
_cell_length_a 9.550
_cell_length_b 5.524
_cell_length_c 7.644
_cell_angle_alpha 90.00
_cell_angle_beta 114.58
_cell_angle_gamma 90.00
_space_group_name_H-M_alt 'C 1 2/m 1'
_space_group_IT_number 12
loop_
_space_group_symop_operation_xyz
'x,y,z'
'-x,-y,-z'
'-x,y,-z'
'x,-y,z'
'x+1/2,y+1/2,z'
'-x+1/2,-y+1/2,-z'
'-x+1/2,y+1/2,-z'
'x+1/2,-y+1/2,z'
loop_
_atom_site_label
_atom_site_type_symbol
_atom_site_fract_x
_atom_site_fract_y
_atom_site_fract_z
Ho1 Ho 0.203 0.000 0.110
Be1 Be 0.000 0.000 0.500
Ni1 Ni 0.000 0.500 0.000
Pt1 Pt 0.010 0.252 0.279
Pt2 Pt 0.242 0.000 0.722

***

No. 5
# HoBe4NiPt2, optimized geometry, DFT PBE
# - calculated density (g cm⁻³) = 10.445
# - E_form (eV per atom) = -0.657
data_HoBe4NiPt2
_cell_length_a 3.8850
_cell_length_b 3.8850
_cell_length_c 23.7102
_cell_angle_alpha 90.00
_cell_angle_beta 90.00
_cell_angle_gamma 120.00
_space_group_name_H-M_alt 'R -3 m'
_space_group_IT_number 166
_space_group_name_Hall '-R 3 2"'
loop_
_atom_site_label
_atom_site_type_symbol
_atom_site_fract_x
_atom_site_fract_y
_atom_site_fract_z
Ho1 Ho 0.0000 0.0000 0.0000
Be1 Be 0.0000 0.0000 0.1346
Be2 Be 0.0000 0.0000 0.4093
Ni1 Ni 0.0000 0.0000 0.5000
Pt1 Pt 0.0000 0.0000 0.2367

***

No. 6
# HoScBeNi, optimized geometry, DFT PBE
# - calculated density (g cm⁻³) = 6.525
# - E_form (eV per atom) = -0.177
data_HoScBeNi
_cell_length_a 6.562
_cell_length_b 6.562
_cell_length_c 6.562
_cell_angle_alpha 90.00
_cell_angle_beta 90.00
_cell_angle_gamma 90.00
_space_group_name_H-M_alt 'F -4 3 m'
_space_group_IT_number 216
_space_group_name_Hall 'F -4 2 3'
loop_
_atom_site_label
_atom_site_type_symbol
_atom_site_fract_x
_atom_site_fract_y
_atom_site_fract_z
Ho1 Ho 0.000 0.000 0.000
Sc1 Sc 0.000 0.000 0.500
Be1 Be 0.250 0.250 0.250
Ni1 Ni 0.250 0.250 0.750

***

No. 7
# Ho2BeSi3Ni4, optimized geometry, DFT PBE
# - calculated density (g cm⁻³) = 7.543
# - uncorrected formation energy (eV per formula unit) = -7.520
data_Ho2BeSi3Ni4
_cell_length_a 3.923
_cell_length_b 3.923
_cell_length_c 9.414
_cell_angle_alpha 90.00
_cell_angle_beta 90.00
_cell_angle_gamma 90.00
_space_group_name_H-M_alt 'P -4 m 2'
_space_group_IT_number 115
loop_
_space_group_symop_operation_xyz
'x,y,z'
'y,-x,-z'
'-x,-y,z'
'-y,x,-z'
'-x,y,z'
'-y,-x,-z'
'x,-y,z'
'y,x,-z'
loop_
_atom_site_label
_atom_site_type_symbol
_atom_site_fract_x
_atom_site_fract_y
_atom_site_fract_z
Ho1 Ho 0.000 0.500 0.244
Be1 Be 0.500 0.500 0.000
Si1 Si 0.000 0.000 0.000
Si2 Si 0.000 0.500 0.634
Ni1 Ni 0.000 0.000 0.500
Ni2 Ni 0.000 0.500 0.877
Ni3 Ni 0.500 0.500 0.500

***

No. 8
# HoBe2SiNi2, optimized geometry, DFT PBE
# - calculated density (g cm⁻³) = 6.313
# - uncorrected formation energy (eV per formula unit) = 0.576
data_HoBe2SiNi2
_cell_length_a 4.018
_cell_length_b 4.018
_cell_length_c 5.350
_cell_angle_alpha 90.00
_cell_angle_beta 90.00
_cell_angle_gamma 90.00
_space_group_name_H-M_alt 'P 4/m m m'
_space_group_IT_number 123
_space_group_name_Hall '-P 4 2'
loop_
_atom_site_label
_atom_site_type_symbol
_atom_site_fract_x
_atom_site_fract_y
_atom_site_fract_z
Ho1 Ho 0.000 0.000 0.000
Be1 Be 0.000 0.500 0.500
Si1 Si 0.000 0.000 0.500
Ni1 Ni 0.500 0.500 0.255

***

No. 9
# Ho2BeSi2Ni5, optimized geometry, DFT PBE
# - calculated density (g cm⁻³) = 8.238
# - uncorrected formation energy (eV per formula unit) = -3.857
data_Ho2BeSi2Ni5
_cell_length_a 9.787
_cell_length_b 9.787
_cell_length_c 2.898
_cell_angle_alpha 90.00
_cell_angle_beta 90.00
_cell_angle_gamma 90.00
_space_group_name_H-M_alt 'P 4/m b m'
_space_group_IT_number 127
_space_group_name_Hall '-P 4 2ab'
loop_
_atom_site_label
_atom_site_type_symbol
_atom_site_fract_x
_atom_site_fract_y
_atom_site_fract_z
Ho1 Ho 0.174 0.326 0.000
Be1 Be 0.000 0.000 0.000
Si1 Si 0.130 0.630 0.000
Ni1 Ni 0.000 0.500 0.500
Ni2 Ni 0.055 0.810 0.500

***

No. 10
# Ho3BeSi6Ni2, optimized geometry, DFT PBE
# - calculated density (g cm⁻³) = 6.201
# - uncorrected formation energy (eV per formula unit) = -3.399
data_Ho3BeSi6Ni2
_cell_length_a 5.2413
_cell_length_b 5.2413
_cell_length_c 8.8891
_cell_angle_alpha 90.00
_cell_angle_beta 90.00
_cell_angle_gamma 120.00
_space_group_name_H-M_alt 'P -3 m 1'
_space_group_IT_number 164
_space_group_name_Hall '-P 3 2"'
loop_
_atom_site_label
_atom_site_type_symbol
_atom_site_fract_x
_atom_site_fract_y
_atom_site_fract_z
Ho1 Ho 0.0000 0.0000 0.0000
Ho2 Ho 0.3333 0.6667 0.5790
Be1 Be 0.0000 0.0000 0.5000
Si1 Si 0.1639 0.3279 0.2834
Ni1 Ni 0.3333 0.6667 0.0902

***

No. 11
# Ho2BeSi3Ni12, optimized geometry, DFT PBE
# - calculated density (g cm⁻³) = 7.553
# - uncorrected formation energy (eV per formula unit) = -2.804
data_Ho2BeSi3Ni12
_cell_length_a 6.1695
_cell_length_b 6.1695
_cell_length_c 22.5587
_cell_angle_alpha 90.00
_cell_angle_beta 90.00
_cell_angle_gamma 120.00
_space_group_name_H-M_alt 'R -3 m'
_space_group_IT_number 166
_space_group_name_Hall '-R 3 2"'
loop_
_atom_site_label
_atom_site_type_symbol
_atom_site_fract_x
_atom_site_fract_y
_atom_site_fract_z
Ho1 Ho 0.0000 0.0000 0.1549
Be1 Be 0.0000 0.0000 0.5000
Si1 Si 0.0000 0.5000 0.0000
Ni1 Ni 0.0582 0.5291 0.1016
Ni2 Ni 0.0642 0.5321 0.6197

***

No. 12
# Ho2BeSiNi6, optimized geometry, DFT PBE
# - calculated density (g cm⁻³) = 8.153
# - uncorrected formation energy (eV per formula unit) = -2.817
data_Ho2BeSiNi6
_cell_length_a 8.367
_cell_length_b 8.367
_cell_length_c 8.367
_cell_angle_alpha 90.00
_cell_angle_beta 90.00
_cell_angle_gamma 90.00
_space_group_name_H-M_alt 'F m -3 m'
_space_group_IT_number 225
_space_group_name_Hall '-F 4 2 3'
loop_
_atom_site_label
_atom_site_type_symbol
_atom_site_fract_x
_atom_site_fract_y
_atom_site_fract_z
Ho1 Ho 0.250 0.250 0.250
Be1 Be 0.000 0.000 0.000
Si1 Si 0.000 0.000 0.500
Ni1 Ni 0.000 0.000 0.240

***

Q: What is the calculated density in the eighth record?
A: 6.313 g cm⁻³

***

Q: Number 1 is which compound?
A: Ho3BeNi3